VNiMo2Pb | PBE-GGA | relaxed

The size of the total moment comes out at 0.00 μB/cell. The formation energy comes out at 1040 meV per atom. Its space group is P4/mmm. The final energy is -35.07 eV per cell. The volume comes out at 91.6 Å³ per cell.

Unit cell a=4.571 b=4.571 c=4.386 alpha=90.00 beta=90.00 gamma=90.00
Element x y z (fractional)
V: 0.000 0.000 0.000
Ni: 0.000 0.000 0.500
Mo: 0.000 0.500 0.500
Mo: 0.500 0.000 0.500
Pb: 0.500 0.500 0.000

---

Y2NiMoPb | PBE-GGA | relaxed

The size of the total moment comes out at 0.01 μB/cell. The formation energy comes out at 165 meV per atom. Its space group is P4/mmm. The final energy is -32.42 eV per cell. The volume comes out at 124.9 Å³ per cell.

Unit cell a=5.280 b=5.280 c=4.480 alpha=90.00 beta=90.00 gamma=90.00
Element x y z (fractional)
Y: 0.000 0.500 0.000
Y: 0.500 0.000 0.000
Ni: 0.000 0.000 0.000
Mo: 0.000 0.000 0.500
Pb: 0.500 0.500 0.500

---

Ni23MoPd6 | PBE-GGA | relaxed

The size of the total moment comes out at 13.31 μB/cell. The formation energy comes out at 125 meV per atom. Its space group is Fm-3m. The final energy is -171.22 eV per cell. The volume comes out at 367.2 Å³ per cell.

Unit cell a=8.038 b=8.038 c=8.038 alpha=60.00 beta=60.00 gamma=60.00
Element x y z (fractional)
Ni: 0.000 0.000 0.000
Ni: 0.000 0.000 0.500
Ni: 0.000 0.500 0.000
Ni: 0.000 0.500 0.500
Ni: 0.002 0.333 0.333
Ni: 0.121 0.121 0.121
Ni: 0.121 0.121 0.636
Ni: 0.121 0.636 0.121
Ni: 0.333 0.002 0.333
Ni: 0.333 0.333 0.002
Ni: 0.333 0.333 0.333
Ni: 0.364 0.879 0.879
Ni: 0.500 0.000 0.000
Ni: 0.500 0.000 0.500
Ni: 0.500 0.500 0.000
Ni: 0.636 0.121 0.121
Ni: 0.667 0.667 0.667
Ni: 0.667 0.667 0.998
Ni: 0.667 0.998 0.667
Ni: 0.879 0.364 0.879
Ni: 0.879 0.879 0.364
Ni: 0.879 0.879 0.879
Ni: 0.998 0.667 0.667
Mo: 0.500 0.500 0.500
Pd: 0.276 0.276 0.724
Pd: 0.276 0.724 0.276
Pd: 0.276 0.724 0.724
Pd: 0.724 0.276 0.276
Pd: 0.724 0.276 0.724
Pd: 0.724 0.724 0.276

---

Ni6MoPd2 | PBE-GGA | relaxed

The size of the total moment comes out at 1.37 μB/cell. The formation energy comes out at 118 meV per atom. Its space group is C2/m. The final energy is -54.84 eV per cell. The volume comes out at 117.4 Å³ per cell.

Unit cell a=4.823 b=4.823 c=5.833 alpha=90.17 beta=90.17 gamma=59.96
Element x y z (fractional)
Ni: 0.159 0.671 0.833
Ni: 0.329 0.329 0.166
Ni: 0.329 0.841 0.167
Ni: 0.671 0.159 0.833
Ni: 0.671 0.671 0.834
Ni: 0.841 0.329 0.167
Mo: 0.500 0.500 0.500
Pd: 0.167 0.167 0.582
Pd: 0.833 0.833 0.418

---

Ni5MoPd | PBE-GGA | relaxed

The size of the total moment comes out at 0.00 μB/cell. The formation energy comes out at 95 meV per atom. Its space group is C2/c. The final energy is -88.52 eV per cell. The volume comes out at 174.1 Å³ per cell.

Unit cell a=4.695 b=4.695 c=8.412 alpha=101.71 beta=101.71 gamma=98.81
Element x y z (fractional)
Ni: 0.073 0.275 0.037
Ni: 0.086 0.914 0.750
Ni: 0.275 0.073 0.537
Ni: 0.323 0.451 0.844
Ni: 0.451 0.323 0.344
Ni: 0.549 0.677 0.656
Ni: 0.677 0.549 0.156
Ni: 0.725 0.927 0.463
Ni: 0.914 0.086 0.250
Ni: 0.927 0.725 0.963
Mo: 0.251 0.749 0.250
Mo: 0.749 0.251 0.750
Pd: 0.000 0.500 0.500
Pd: 0.500 0.000 0.000

---

Ni7Mo2Pd | PBE-GGA | relaxed

The size of the total moment comes out at 0.00 μB/cell. The formation energy comes out at 623 meV per atom. Its space group is Cmmm. The final energy is -61.09 eV per cell. The volume comes out at 149.5 Å³ per cell.

Unit cell a=7.350 b=7.350 c=3.603 alpha=90.00 beta=90.00 gamma=129.84
Element x y z (fractional)
Ni: 0.000 0.000 0.000
Ni: 0.203 0.410 0.000
Ni: 0.312 0.688 0.500
Ni: 0.410 0.203 0.000
Ni: 0.590 0.797 0.000
Ni: 0.688 0.312 0.500
Ni: 0.797 0.590 0.000
Mo: 0.202 0.798 0.000
Mo: 0.798 0.202 0.000
Pd: 0.500 0.500 0.500

---

Ni2MoPd2 | PBE-GGA | relaxed

The size of the total moment comes out at 0.00 μB/cell. The formation energy comes out at 193 meV per atom. Its space group is P4/mbm. The final energy is -63.63 eV per cell. The volume comes out at 138.2 Å³ per cell.

Unit cell a=6.946 b=6.946 c=2.863 alpha=90.00 beta=90.00 gamma=90.00
Element x y z (fractional)
Ni: 0.129 0.371 0.000
Ni: 0.371 0.871 0.000
Ni: 0.629 0.129 0.000
Ni: 0.871 0.629 0.000
Mo: 0.000 0.000 0.000
Mo: 0.500 0.500 0.000
Pd: 0.168 0.668 0.500
Pd: 0.332 0.168 0.500
Pd: 0.668 0.832 0.500
Pd: 0.832 0.332 0.500

---

Ni2MoPd6 | PBE-GGA | relaxed

The size of the total moment comes out at 0.00 μB/cell. The formation energy comes out at -20 meV per atom. Its space group is C2/m. The final energy is -53.73 eV per cell. The volume comes out at 130.4 Å³ per cell.

Unit cell a=6.063 b=6.063 c=8.235 alpha=103.56 beta=103.56 gamma=26.34
Element x y z (fractional)
Ni: 0.161 0.161 0.211
Ni: 0.839 0.839 0.789
Mo: 0.500 0.500 0.000
Pd: 0.166 0.166 0.891
Pd: 0.172 0.172 0.564
Pd: 0.493 0.493 0.673
Pd: 0.507 0.507 0.327
Pd: 0.828 0.828 0.436
Pd: 0.834 0.834 0.109